Entry from the Alexandria database: an optimized crystal structure of TaP2Se (PBEsol).

Cell lengths 3.1134, 4.2439, 4.7249 Å; angles 90.00, 90.00, 90.00 degrees
Sites, in units of the cell vectors:
Ta1 0.0000 0.0000 0.0000
P1 0.0000 0.5000 0.5000
P2 0.5000 0.0000 0.5000
Se1 0.5000 0.5000 0.0000

Calculated values
**Calculated total energy**: -6.745 eV per atom
**DOS(E_F)**: 2.69 states/eV/cell
**Formation energy from raw total energies**: 1.005 eV/f.u.
**Space group**: Pmmm (47)